Here is a relaxed CrSnIrBr2 crystal from the Alexandria database. Energies are from PBE.

Values from the calculation:
- Total moment: 3.6 μB/cell
- VASP energy: -4.5100 eV per atom
- SG: P4/mmm
- Mass density: 6.7 g/cm3
- E_form (uncorrected): 657 meV/atom

extended XYZ file:
```
5
Lattice="5.149 0.000 0.000 0.000 4.865 0.000 0.000 0.000 5.149" Properties=species:S:1:pos:R:3 pbc="T T T"
Br 0.000 0.000 2.574
Cr 0.000 2.432 0.000
Ir 0.000 0.000 0.000
Br 2.574 0.000 0.000
Sn 2.574 2.432 2.574
```

Here is a relaxed K3CrBr crystal from the Alexandria database. Energies are from PBE.

Values from the calculation:
- Total moment: 5.7 μB/cell
- VASP energy: -2.9959 eV per atom
- SG: Pm-3m
- Mass density: 1.6 g/cm3
- E_form (uncorrected): -78 meV/atom

extended XYZ file:
```
5
Lattice="-3.063 -4.949 -2.442 4.816 -1.032 -3.948 2.696 -3.779 4.277" Properties=species:S:1:pos:R:3 pbc="T T T"
Br 0.000 0.000 0.000
Cr 2.224 -4.880 -1.057
K -1.532 -2.475 -1.221
K 1.348 -1.890 2.138
K 2.408 -0.516 -1.974
```

Here is a relaxed KCr3Br crystal from the Alexandria database. Energies are from PBE.

Values from the calculation:
- Total moment: 14.1 μB/cell
- VASP energy: -5.0800 eV per atom
- SG: Pm-3m
- Mass density: 3.0 g/cm3
- E_form (uncorrected): 1248 meV/atom

extended XYZ file:
```
5
Lattice="-2.523 -4.652 -0.673 4.680 -2.558 0.135 -0.440 -0.526 5.290" Properties=species:S:1:pos:R:3 pbc="T T T"
Cr 2.340 -1.279 0.067
Br 0.000 0.000 0.000
K 0.858 -3.868 2.376
Cr -1.262 -2.326 -0.336
Cr -0.220 -0.263 2.645
```

Here is a relaxed KCr2Br crystal from the Alexandria database. Energies are from PBE.

Values from the calculation:
- Total moment: 9.7 μB/cell
- VASP energy: -4.6745 eV per atom
- SG: P4/mmm
- Mass density: 3.3 g/cm3
- E_form (uncorrected): 830 meV/atom

extended XYZ file:
```
4
Lattice="-0.753 -2.083 -2.636 0.232 -2.728 2.089 -9.274 0.772 2.039" Properties=species:S:1:pos:R:3 pbc="T T T"
K -2.579 -2.212 0.236
Cr -8.716 0.725 1.916
Br -7.216 -1.827 1.256
Cr -5.195 0.432 1.142
```

Here is a relaxed KCr2Br crystal from the Alexandria database. Energies are from PBE.

Values from the calculation:
- Total moment: 0.4 μB/cell
- VASP energy: -5.2172 eV per atom
- SG: Cm
- Mass density: 3.5 g/cm3
- E_form (uncorrected): 287 meV/atom

extended XYZ file:
```
4
Lattice="-2.966 -1.407 -2.800 -0.427 -3.537 -2.434 -5.038 -5.288 4.169" Properties=species:S:1:pos:R:3 pbc="T T T"
Cr -6.524 -7.807 -0.180
Cr -7.971 -9.659 -0.917
Br -2.268 -2.849 -0.848
K -4.315 -5.266 -0.717
```

Here is a relaxed K2CrBr2 crystal from the Alexandria database. Energies are from PBE.

Values from the calculation:
- Total moment: 6.0 μB/cell
- VASP energy: -3.5287 eV per atom
- SG: I4/mmm
- Mass density: 1.9 g/cm3
- E_form (uncorrected): -496 meV/atom

extended XYZ file:
```
5
Lattice="6.275 0.000 0.000 0.000 6.275 0.000 3.138 3.138 6.272" Properties=species:S:1:pos:R:3 pbc="T T T"
K 3.138 3.138 2.455
K 6.275 6.275 3.817
Br 3.138 6.275 3.136
Br 6.275 3.138 3.136
Cr 0.000 0.000 0.000
```

> Number 2 is which compound?

K3CrBr